[1]
A geometry-optimized CaFePd2 structure, computed with PBE-GGA.

## Properties
Theoretical density = 7.3 Mg/m³
Size of the total moment = 3.296 μB per formula unit
E_form = -0.154 eV/atom
Crystal system = cubic
DOS at the Fermi energy = 1.152 states/eV per atom

Cell: 4.628 4.628 4.628 Å, 60.00 60.00 60.00°
Each line ends with the local moment (μB).
Element x y z (fractional)
Ca1 0.000 0.000 0.000  -0.02
Fe1 0.500 0.500 0.500  3.15
Pd1 0.250 0.250 0.250  0.09
Pd2 0.750 0.750 0.750  0.09



[2]
A geometry-optimized CaFe3Pd structure, computed with PBE-GGA.

## Properties
Theoretical density = 5.9 Mg/m³
Size of the total moment = 7.744 μB per formula unit
E_form = 1.887 eV/atom
Crystal system = cubic
DOS at the Fermi energy = 1.526 states/eV per atom

Cell: 4.456 4.456 4.456 Å, 90.00 90.00 90.00°
Each line ends with the local moment (μB).
Element x y z (fractional)
Ca1 0.000 0.000 0.000  -0.23
Fe1 0.000 0.500 0.000  2.60
Fe2 0.000 0.000 0.500  2.35
Fe3 0.500 0.000 0.000  2.94
Pd1 0.500 0.500 0.500  0.15



[3]
A geometry-optimized Ca2FePd structure, computed with PBE-GGA.

## Properties
Theoretical density = 4.3 Mg/m³
Size of the total moment = 2.435 μB per formula unit
E_form = 0.283 eV/atom
Crystal system = tetragonal
DOS at the Fermi energy = 1.090 states/eV per atom

Cell: 7.839 7.839 6.326 Å, 51.71 51.71 90.00°
Each line ends with the local moment (μB).
Element x y z (fractional)
Ca1 0.642 0.125 0.250  -0.07
Ca2 0.108 0.625 0.250  -0.07
Ca3 0.375 0.358 0.750  -0.07
Ca4 0.875 0.892 0.750  -0.07
Fe1 0.500 0.500 0.000  2.77
Fe2 0.250 0.750 0.500  2.77
Pd1 0.000 0.000 0.000  0.02
Pd2 0.750 0.250 0.500  0.03



[4]
A geometry-optimized CaFe2Pd2 structure, computed with PBE-GGA.

## Properties
Theoretical density = 7.8 Mg/m³
Size of the total moment = 0.067 μB per formula unit
E_form = 0.204 eV/atom
Crystal system = tetragonal
DOS at the Fermi energy = 1.852 states/eV per atom

Cell: 7.487 7.487 2.767 Å, 90.00 90.00 90.00°
Element x y z (fractional)
Ca1 0.000 0.000 0.000
Ca2 0.500 0.500 0.000
Fe1 0.400 0.900 0.000
Fe2 0.900 0.600 0.000
Fe3 0.600 0.100 0.000
Fe4 0.100 0.400 0.000
Pd1 0.192 0.692 0.500
Pd2 0.692 0.808 0.500
Pd3 0.808 0.308 0.500
Pd4 0.308 0.192 0.500



[5]
A geometry-optimized CaFe2Pd structure, computed with PBE-GGA.

## Properties
Theoretical density = 5.8 Mg/m³
Size of the total moment = 5.630 μB per formula unit
E_form = 0.390 eV/atom
Crystal system = tetragonal
DOS at the Fermi energy = 0.712 states/eV per atom

Cell: 3.881 3.881 10.140 Å, 78.97 78.97 90.00°
Each line ends with the local moment (μB).
Element x y z (fractional)
Ca1 0.500 0.500 0.000  -0.03
Ca2 0.250 0.750 0.500  -0.03
Fe1 0.696 0.125 0.250  2.77
Fe2 0.054 0.625 0.250  2.76
Fe3 0.375 0.304 0.750  2.77
Fe4 0.875 0.946 0.750  2.76
Pd1 0.000 0.000 0.000  0.12
Pd2 0.750 0.250 0.500  0.12



[6]
A geometry-optimized Ca3FePd structure, computed with PBE-GGA.

## Properties
Theoretical density = 2.8 Mg/m³
Size of the total moment = 3.024 μB per formula unit
E_form = 0.288 eV/atom
Crystal system = cubic
DOS at the Fermi energy = 2.796 states/eV per atom

Cell: 5.483 5.483 5.483 Å, 90.00 90.00 90.00°
Each line ends with the local moment (μB).
Element x y z (fractional)
Ca1 0.000 0.500 0.000  -0.02
Ca2 0.000 0.000 0.500  -0.02
Ca3 0.500 0.000 0.000  -0.03
Fe1 0.500 0.500 0.500  3.14
Pd1 0.000 0.000 0.000  0.01



[7]
A geometry-optimized CaFePd2 structure, computed with PBE-GGA.

## Properties
Theoretical density = 6.4 Mg/m³
Size of the total moment = 3.204 μB per formula unit
E_form = 0.177 eV/atom
Crystal system = tetragonal
DOS at the Fermi energy = 1.086 states/eV per atom

Cell: 4.273 4.273 9.258 Å, 76.66 76.66 90.00°
Each line ends with the local moment (μB).
Element x y z (fractional)
Ca1 0.500 0.500 0.000  -0.05
Ca2 0.250 0.750 0.500  -0.05
Fe1 0.000 0.000 0.000  2.99
Fe2 0.750 0.250 0.500  2.99
Pd1 0.679 0.125 0.250  0.16
Pd2 0.071 0.625 0.250  0.16
Pd3 0.375 0.321 0.750  0.17
Pd4 0.875 0.929 0.750  0.17



[8]
A geometry-optimized CaFe3Pd structure, computed with PBE-GGA.

## Properties
Theoretical density = 4.9 Mg/m³
Size of the total moment = 9.359 μB per formula unit
E_form = 0.790 eV/atom
Crystal system = cubic
DOS at the Fermi energy = 1.621 states/eV per atom

Cell: 4.733 4.733 4.733 Å, 90.00 90.00 90.00°
Each line ends with the local moment (μB).
Element x y z (fractional)
Ca1 0.500 0.500 0.500  -0.09
Fe1 0.000 0.500 0.000  3.22
Fe2 0.000 0.000 0.500  3.55
Fe3 0.500 0.000 0.000  2.47
Pd1 0.000 0.000 0.000  0.43